1:
ZnGaBi: relaxed, PBE.

Properties
space group	F-43m, No. 216

The structure in POSCAR format:
```
ZnGaBi
1.0
6.735 0.000 0.000
0.000 6.735 0.000
0.000 0.000 6.735
Zn Ga Bi
4 4 4
direct
0.000 0.000 0.000 Zn
0.000 0.500 0.500 Zn
0.500 0.000 0.500 Zn
0.500 0.500 0.000 Zn
0.250 0.250 0.750 Ga
0.250 0.750 0.250 Ga
0.750 0.250 0.250 Ga
0.750 0.750 0.750 Ga
0.000 0.000 0.500 Bi
0.000 0.500 0.000 Bi
0.500 0.000 0.000 Bi
0.500 0.500 0.500 Bi
```

2:
ZnGaBi: relaxed, PBE.

Properties
space group	F-43m, No. 216

The structure in POSCAR format:
```
ZnGaBi
1.0
6.923 0.000 0.000
0.000 6.923 0.000
0.000 0.000 6.923
Zn Ga Bi
4 4 4
direct
0.000 0.000 0.000 Zn
0.000 0.500 0.500 Zn
0.500 0.000 0.500 Zn
0.500 0.500 0.000 Zn
0.000 0.000 0.500 Ga
0.000 0.500 0.000 Ga
0.500 0.000 0.000 Ga
0.500 0.500 0.500 Ga
0.250 0.250 0.750 Bi
0.250 0.750 0.250 Bi
0.750 0.250 0.250 Bi
0.750 0.750 0.750 Bi
```

Which of them is the least stable? Correct choice: 2.

1:
Gd2Bi: relaxed, PBE.

Properties
total magnetic moment	0.01	μB/f.u.
space group	Fd-3m, No. 227

The structure in POSCAR format:
```
Gd2Bi
1.0
0.000 4.496 4.496
4.496 0.000 4.496
4.496 4.496 0.000
Gd Bi
4 2
direct
0.000 0.000 0.000 Gd
0.000 0.000 0.500 Gd
0.000 0.500 0.000 Gd
0.500 0.000 0.000 Gd
0.375 0.375 0.375 Bi
0.625 0.625 0.625 Bi
```

2:
Gd2Bi: relaxed, PBE.

Properties
total magnetic moment	2.01	μB/f.u.
space group	Fd-3m, No. 227

The structure in POSCAR format:
```
Gd2Bi
1.0
0.000 6.911 6.911
6.911 0.000 6.911
6.911 6.911 0.000
Gd Bi
4 2
direct
0.000 0.000 0.000 Gd
0.000 0.000 0.500 Gd
0.000 0.500 0.000 Gd
0.500 0.000 0.000 Gd
0.125 0.125 0.125 Bi
0.875 0.875 0.875 Bi
```

Which of them is the least stable? Correct choice: 2.

1:
GdGeBi: relaxed, PBE.

Properties
total magnetic moment	0.00	μB/f.u.
space group	F-43m, No. 216

The structure in POSCAR format:
```
GdGeBi
1.0
7.216 0.000 0.000
0.000 7.216 0.000
0.000 0.000 7.216
Gd Ge Bi
4 4 4
direct
0.000 0.000 0.000 Gd
0.000 0.500 0.500 Gd
0.500 0.000 0.500 Gd
0.500 0.500 0.000 Gd
0.250 0.250 0.250 Ge
0.250 0.750 0.750 Ge
0.750 0.250 0.750 Ge
0.750 0.750 0.250 Ge
0.250 0.250 0.750 Bi
0.250 0.750 0.250 Bi
0.750 0.250 0.250 Bi
0.750 0.750 0.750 Bi
```

2:
GdGeBi: relaxed, PBE.

Properties
total magnetic moment	0.01	μB/f.u.
space group	F-43m, No. 216

The structure in POSCAR format:
```
GdGeBi
1.0
7.261 0.000 0.000
0.000 7.261 0.000
0.000 0.000 7.261
Gd Ge Bi
4 4 4
direct
0.000 0.000 0.000 Gd
0.000 0.500 0.500 Gd
0.500 0.000 0.500 Gd
0.500 0.500 0.000 Gd
0.000 0.000 0.500 Ge
0.000 0.500 0.000 Ge
0.500 0.000 0.000 Ge
0.500 0.500 0.500 Ge
0.250 0.250 0.250 Bi
0.250 0.750 0.750 Bi
0.750 0.250 0.750 Bi
0.750 0.750 0.250 Bi
```

Which of them is the least stable? Correct choice: 2.

1:
Gd2Bi2O5: relaxed, PBE.

Properties
total magnetic moment	0.38	μB/f.u.
space group	P4/mmm, No. 123

The structure in POSCAR format:
```
Gd2Bi2O5
1.0
4.304 0.000 0.000
0.000 4.304 0.000
0.000 0.000 7.612
Gd Bi O
2 2 5
direct
0.000 0.000 0.000 Gd
0.000 0.000 0.500 Gd
0.500 0.500 0.218 Bi
0.500 0.500 0.782 Bi
0.000 0.500 0.289 O
0.000 0.500 0.711 O
0.500 0.000 0.289 O
0.500 0.000 0.711 O
0.500 0.500 0.500 O
```

2:
Gd2Bi2O5: relaxed, PBE.

Properties
total magnetic moment	0.00	μB/f.u.
space group	P4/mmm, No. 123

The structure in POSCAR format:
```
Gd2Bi2O5
1.0
3.963 0.000 0.000
0.000 3.963 0.000
0.000 0.000 9.556
Gd Bi O
2 2 5
direct
0.000 0.000 0.247 Gd
0.000 0.000 0.753 Gd
0.500 0.500 0.000 Bi
0.500 0.500 0.500 Bi
0.000 0.000 0.000 O
0.000 0.500 0.352 O
0.000 0.500 0.648 O
0.500 0.000 0.352 O
0.500 0.000 0.648 O
```

Which of them is the least stable? Correct choice: 1.

1:
GdBiPO: relaxed, PBE.

Properties
total magnetic moment	0.02	μB/f.u.
space group	P4/nmm, No. 129

The structure in POSCAR format:
```
GdBiPO
1.0
4.233 0.000 0.000
0.000 4.233 0.000
0.000 0.000 9.679
Gd Bi P O
2 2 2 2
direct
0.250 0.250 0.098 Gd
0.750 0.750 0.902 Gd
0.250 0.750 0.500 Bi
0.750 0.250 0.500 Bi
0.250 0.250 0.733 P
0.750 0.750 0.267 P
0.250 0.750 0.000 O
0.750 0.250 0.000 O
```

2:
GdBiPO: relaxed, PBE.

Properties
total magnetic moment	0.00	μB/f.u.
space group	Pmc2_1, No. 26

The structure in POSCAR format:
```
GdBiPO
1.0
4.968 0.000 0.000
0.000 6.353 0.000
0.000 0.000 6.196
Gd Bi P O
2 2 2 2
direct
0.000 0.180 0.000 Gd
0.000 0.820 0.500 Gd
0.500 0.246 0.403 Bi
0.500 0.754 0.903 Bi
0.500 0.323 0.851 P
0.500 0.677 0.351 P
0.000 0.126 0.347 O
0.000 0.874 0.847 O
```

Which of them is the least stable? Correct choice: 2.

1:
GdBiPb2O6: relaxed, PBE.

Properties
total magnetic moment	0.00	μB/f.u.
space group	Fm-3m, No. 225

The structure in POSCAR format:
```
GdBiPb2O6
1.0
0.000 4.276 4.276
4.276 0.000 4.276
4.276 4.276 0.000
Gd Bi Pb O
1 1 2 6
direct
0.000 0.000 0.000 Gd
0.500 0.500 0.500 Bi
0.250 0.250 0.250 Pb
0.750 0.750 0.750 Pb
0.000 0.000 0.500 O
0.000 0.500 0.000 O
0.000 0.500 0.500 O
0.500 0.000 0.000 O
0.500 0.000 0.500 O
0.500 0.500 0.000 O
```

2:
GdBiPb2O6: relaxed, PBE.

Properties
total magnetic moment	0.00	μB/f.u.
space group	I4/m, No. 87

The structure in POSCAR format:
```
GdBiPb2O6
1.0
-2.979 2.979 4.315
2.979 -2.979 4.315
2.979 2.979 -4.315
Gd Bi Pb O
1 1 2 6
direct
0.000 0.000 0.000 Gd
0.500 0.500 0.000 Bi
0.250 0.750 0.500 Pb
0.750 0.250 0.500 Pb
0.191 0.327 0.519 O
0.257 0.257 0.000 O
0.327 0.809 0.136 O
0.673 0.191 0.864 O
0.743 0.743 0.000 O
0.809 0.673 0.481 O
```

3:
GdBiPb2O6: relaxed, PBE.

Properties
total magnetic moment	0.00	μB/f.u.
space group	P-1, No. 2

The structure in POSCAR format:
```
GdBiPb2O6
1.0
5.248 0.000 0.000
-1.359 5.280 0.000
-0.188 -0.608 5.840
Gd Bi Pb O
1 1 2 6
direct
0.000 0.000 0.000 Gd
0.500 0.500 0.000 Bi
0.299 0.708 0.455 Pb
0.701 0.292 0.545 Pb
0.242 0.733 0.051 O
0.270 0.235 0.736 O
0.298 0.300 0.268 O
0.702 0.700 0.732 O
0.730 0.765 0.264 O
0.758 0.267 0.949 O
```

Which of them is the least stable? Correct choice: 1.